*a*
# LiFe2OF3, relaxed, DFT PBEsol
# V   10.59 Å³/atom
data_LiFe2OF3
_space_group_name_H-M_alt 'P 1'
_space_group_IT_number 1
_cell_length_a 5.3811
_cell_length_b 5.6405
_cell_length_c 5.6405
_cell_angle_alpha 120.00
_cell_angle_beta 90.00
_cell_angle_gamma 90.00
loop_
_space_group_symop_operation_xyz
'x,y,z'
loop_
_atom_site_label
_atom_site_type_symbol
_atom_site_fract_x
_atom_site_fract_y
_atom_site_fract_z
Li1 Li 0.4774 0.3333 0.6667
Li2 Li 0.5226 0.6667 0.3333
Fe1 Fe 0.0000 0.5000 0.0000
Fe2 Fe 0.5000 0.0000 0.0000
Fe3 Fe 0.0000 0.5000 0.5000
Fe4 Fe 0.0000 0.0000 0.5000
O1 O 0.8200 0.3333 0.6667
O2 O 0.1800 0.6667 0.3333
F1 F 0.7021 0.8367 0.6735
F2 F 0.2979 0.1633 0.3265
F3 F 0.2979 0.6735 0.8367
F4 F 0.2979 0.1633 0.8367
F5 F 0.7021 0.3265 0.1633
F6 F 0.7021 0.8367 0.1633

*b*
# LiFe2OF3, relaxed, DFT PBEsol
# V   10.88 Å³/atom
data_LiFe2OF3
_space_group_name_H-M_alt 'P 1'
_space_group_IT_number 1
_cell_length_a 6.0410
_cell_length_b 6.0410
_cell_length_c 5.9494
_cell_angle_alpha 59.49
_cell_angle_beta 59.49
_cell_angle_gamma 60.00
loop_
_space_group_symop_operation_xyz
'x,y,z'
loop_
_atom_site_label
_atom_site_type_symbol
_atom_site_fract_x
_atom_site_fract_y
_atom_site_fract_z
Li1 Li 0.6430 0.6430 0.0711
Li2 Li 0.3570 0.3570 0.9289
Fe1 Fe 0.0000 0.5000 0.5000
Fe2 Fe 0.0000 0.0000 0.5000
Fe3 Fe 0.5000 0.0000 0.5000
Fe4 Fe 0.0000 0.0000 0.0000
O1 O 0.7741 0.7741 0.6778
O2 O 0.2259 0.2259 0.3222
F1 F 0.7352 0.2463 0.7722
F2 F 0.7537 0.2648 0.2278
F3 F 0.2463 0.2463 0.7722
F4 F 0.2648 0.7537 0.2278
F5 F 0.7537 0.7537 0.2278
F6 F 0.2463 0.7352 0.7722

*c*
# LiFe2OF3, relaxed, DFT PBEsol
# V   11.52 Å³/atom
data_LiFe2OF3
_space_group_name_H-M_alt 'P 1'
_space_group_IT_number 1
_cell_length_a 5.9630
_cell_length_b 5.9630
_cell_length_c 9.0690
_cell_angle_alpha 90.00
_cell_angle_beta 90.00
_cell_angle_gamma 90.00
loop_
_space_group_symop_operation_xyz
'x,y,z'
loop_
_atom_site_label
_atom_site_type_symbol
_atom_site_fract_x
_atom_site_fract_y
_atom_site_fract_z
Li1 Li 0.2755 0.4209 0.3135
Li2 Li 0.5791 0.2755 0.0635
Li3 Li 0.4209 0.7245 0.5635
Li4 Li 0.7245 0.5791 0.8135
Fe1 Fe 0.0567 0.2663 0.9321
Fe2 Fe 0.9433 0.7337 0.4321
Fe3 Fe 0.1325 0.2217 0.6430
Fe4 Fe 0.2217 0.8675 0.8930
Fe5 Fe 0.2663 0.9433 0.1821
Fe6 Fe 0.7337 0.0567 0.6821
Fe7 Fe 0.7783 0.1325 0.3930
Fe8 Fe 0.8675 0.7783 0.1430
O1 O 0.1134 0.6842 0.2550
O2 O 0.3158 0.1134 0.0050
O3 O 0.6842 0.8866 0.5050
O4 O 0.8866 0.3158 0.7550
F1 F 0.0564 0.1979 0.2754
F2 F 0.1979 0.9436 0.5254
F3 F 0.2089 0.4951 0.5160
F4 F 0.2415 0.5436 0.9400
F5 F 0.4564 0.2415 0.6900
F6 F 0.4951 0.7911 0.7660
F7 F 0.5049 0.2089 0.2660
F8 F 0.5436 0.7585 0.1900
F9 F 0.7585 0.4564 0.4400
F10 F 0.7911 0.5049 0.0160
F11 F 0.8021 0.0564 0.0254
F12 F 0.9436 0.8021 0.7754

Stability order, top to bottom: *b*, *c*, *a*

*a*
# Li4FeOF5, relaxed, DFT PBEsol
# V   11.03 Å³/atom
data_Li4FeOF5
_space_group_name_H-M_alt 'P 1'
_space_group_IT_number 1
_cell_length_a 5.6711
_cell_length_b 5.6615
_cell_length_c 13.0925
_cell_angle_alpha 90.13
_cell_angle_beta 90.26
_cell_angle_gamma 59.94
loop_
_space_group_symop_operation_xyz
'x,y,z'
loop_
_atom_site_label
_atom_site_type_symbol
_atom_site_fract_x
_atom_site_fract_y
_atom_site_fract_z
Li1 Li 0.0097 0.3224 0.3482
Li2 Li 0.0105 0.3243 0.0523
Li3 Li 0.3221 0.0000 0.5034
Li4 Li 0.3320 0.6776 0.3482
Li5 Li 0.3348 0.6757 0.0523
Li6 Li 0.6689 0.0000 0.6578
Li7 Li 0.6512 0.0000 0.3349
Li8 Li 0.6603 0.0000 0.0468
Li9 Li 0.6660 0.3423 0.5003
Li10 Li 0.6679 0.3341 0.2080
Li11 Li 0.0083 0.6577 0.5003
Li12 Li 0.0020 0.6659 0.2080
Fe1 Fe 0.3327 0.0000 0.8486
Fe2 Fe 0.6666 0.3338 0.8515
Fe3 Fe 0.0004 0.6662 0.8515
O1 O 0.0003 0.3327 0.8622
O2 O 0.3330 0.6673 0.8622
O3 O 0.6658 0.0000 0.8704
F1 F 0.9964 0.3361 0.5026
F2 F 0.9622 0.3717 0.1876
F3 F 0.3622 0.0000 0.7076
F4 F 0.3376 0.0000 0.3570
F5 F 0.3301 0.0000 0.0103
F6 F 0.3325 0.6639 0.5026
F7 F 0.3339 0.6283 0.1876
F8 F 0.6689 0.0000 0.5211
F9 F 0.7058 0.0000 0.1832
F10 F 0.6667 0.3054 0.7106
F11 F 0.6659 0.3255 0.3505
F12 F 0.6682 0.3394 0.0113
F13 F 0.9721 0.6946 0.7106
F14 F 0.9913 0.6745 0.3505
F15 F 0.0076 0.6606 0.0113

*b*
# Li4FeOF5, relaxed, DFT PBEsol
# V   9.42 Å³/atom
data_Li4FeOF5
_space_group_name_H-M_alt 'P 1'
_space_group_IT_number 1
_cell_length_a 5.0314
_cell_length_b 5.0314
_cell_length_c 9.5231
_cell_angle_alpha 94.77
_cell_angle_beta 94.77
_cell_angle_gamma 119.38
loop_
_space_group_symop_operation_xyz
'x,y,z'
loop_
_atom_site_label
_atom_site_type_symbol
_atom_site_fract_x
_atom_site_fract_y
_atom_site_fract_z
Li1 Li 0.4455 0.5895 0.7399
Li2 Li 0.5895 0.4455 0.2399
Li3 Li 0.9117 0.0657 0.2486
Li4 Li 0.0657 0.9117 0.7486
Li5 Li 0.3395 0.1851 0.5011
Li6 Li 0.1851 0.3395 0.0011
Li7 Li 0.7466 0.2608 0.7566
Li8 Li 0.2608 0.7466 0.2566
Fe1 Fe 0.9678 0.5030 0.5108
Fe2 Fe 0.5030 0.9678 0.0108
O1 O 0.7213 0.5268 0.6284
O2 O 0.5268 0.7213 0.1284
F1 F 0.1627 0.6256 0.8694
F2 F 0.6256 0.1627 0.3694
F3 F 0.2377 0.0699 0.1261
F4 F 0.0699 0.2377 0.6261
F5 F 0.4287 0.2402 0.8735
F6 F 0.2402 0.4287 0.3735
F7 F 0.9779 0.7850 0.3668
F8 F 0.7850 0.9779 0.8668
F9 F 0.3479 0.8689 0.6195
F10 F 0.8689 0.3479 0.1195

Stability order, top to bottom: *a*, *b*

*a*
# Li2FeOF3, relaxed, DFT PBEsol
# V   10.00 Å³/atom
data_Li2FeOF3
_space_group_name_H-M_alt 'P 1'
_space_group_IT_number 1
_cell_length_a 5.7655
_cell_length_b 5.8241
_cell_length_c 5.8449
_cell_angle_alpha 119.73
_cell_angle_beta 90.00
_cell_angle_gamma 119.67
loop_
_space_group_symop_operation_xyz
'x,y,z'
loop_
_atom_site_label
_atom_site_type_symbol
_atom_site_fract_x
_atom_site_fract_y
_atom_site_fract_z
Li1 Li 0.9942 0.9884 0.5044
Li2 Li 0.6274 0.2547 0.8938
Li3 Li 0.9893 0.5048 0.4960
Li4 Li 0.5155 0.5048 0.4960
Fe1 Fe 0.3883 0.7766 0.1249
Fe2 Fe 0.9909 0.9819 0.0194
O1 O 0.7625 0.0002 0.2308
O2 O 0.2377 0.0002 0.2308
F1 F 0.7617 0.5233 0.2778
F2 F 0.7533 0.5066 0.7422
F3 F 0.2436 0.4872 0.7247
F4 F 0.2455 0.4911 0.2453
F5 F 0.7661 0.9898 0.7570
F6 F 0.2237 0.9898 0.7570

*b*
# Li2FeOF3, relaxed, DFT PBEsol
# V   10.17 Å³/atom
data_Li2FeOF3
_space_group_name_H-M_alt 'P 1'
_space_group_IT_number 1
_cell_length_a 5.8182
_cell_length_b 5.8334
_cell_length_c 5.8334
_cell_angle_alpha 119.87
_cell_angle_beta 118.95
_cell_angle_gamma 61.05
loop_
_space_group_symop_operation_xyz
'x,y,z'
loop_
_atom_site_label
_atom_site_type_symbol
_atom_site_fract_x
_atom_site_fract_y
_atom_site_fract_z
Li1 Li 0.0000 0.0000 0.0000
Li2 Li 0.5000 0.0000 0.0000
Li3 Li 0.1000 0.6213 0.3787
Li4 Li 0.9000 0.3787 0.6213
Fe1 Fe 0.5000 0.0000 0.5000
Fe2 Fe 0.5000 0.5000 0.0000
O1 O 0.3046 0.2468 0.7532
O2 O 0.6954 0.7532 0.2468
F1 F 0.7603 0.2446 0.7554
F2 F 0.2397 0.7554 0.2446
F3 F 0.7436 0.7740 0.7538
F4 F 0.7436 0.2462 0.2260
F5 F 0.2564 0.7538 0.7740
F6 F 0.2564 0.2260 0.2462

*c*
# Li2FeOF3, relaxed, DFT PBEsol
# V   9.55 Å³/atom
data_Li2FeOF3
_space_group_name_H-M_alt 'P 1'
_space_group_IT_number 1
_cell_length_a 5.7516
_cell_length_b 5.7516
_cell_length_c 8.0838
_cell_angle_alpha 90.00
_cell_angle_beta 90.00
_cell_angle_gamma 90.00
loop_
_space_group_symop_operation_xyz
'x,y,z'
loop_
_atom_site_label
_atom_site_type_symbol
_atom_site_fract_x
_atom_site_fract_y
_atom_site_fract_z
Li1 Li 0.7493 0.7623 0.3725
Li2 Li 0.7623 0.2507 0.1225
Li3 Li 0.2377 0.7493 0.6225
Li4 Li 0.2507 0.2377 0.8725
Li5 Li 0.7507 0.0058 0.7491
Li6 Li 0.9942 0.7507 0.9991
Li7 Li 0.0058 0.2493 0.4991
Li8 Li 0.2493 0.9942 0.2491
Fe1 Fe 0.7309 0.4954 0.7599
Fe2 Fe 0.2691 0.5046 0.2599
Fe3 Fe 0.5046 0.7309 0.0099
Fe4 Fe 0.4954 0.2691 0.5099
O1 O 0.5137 0.2794 0.7288
O2 O 0.7206 0.5137 0.9788
O3 O 0.2794 0.4863 0.4788
O4 O 0.4863 0.7206 0.2288
F1 F 0.5084 0.7524 0.7575
F2 F 0.7524 0.4916 0.5075
F3 F 0.2476 0.5084 0.0075
F4 F 0.4916 0.2476 0.2575
F5 F 0.7347 0.9702 0.0028
F6 F 0.9702 0.2653 0.7528
F7 F 0.0298 0.7347 0.2528
F8 F 0.2653 0.0298 0.5028
F9 F 0.7441 0.0298 0.5044
F10 F 0.9702 0.7441 0.7544
F11 F 0.0298 0.2559 0.2544
F12 F 0.2559 0.9702 0.0044

Stability order, top to bottom: *a*, *b*, *c*